The following is a DFT calculation (meta-GGA SCAN) of MgHgSe at its PBEsol-relaxed geometry.

Symmetry: No. 107
Formation energy without anion corrections (meV per atom): -745

POSCAR file:
```
MgHgSe
1.0
-0.562 -2.810 2.299
-1.794 -1.808 -2.648
6.455 -0.244 -1.657
Se Mg Hg
1 1 1
Direct
0.229 0.229 0.457
0.774 0.774 0.549
0.997 0.997 0.994
```

---

The following is a DFT calculation (meta-GGA SCAN) of CdCoTe2 at its PBEsol-relaxed geometry.

Density of states at the Fermi level (states/eV/cell): 2.78
Symmetry: No. 8
Formation energy without anion corrections (meV per atom): 57

POSCAR file:
```
CdCoTe2
1.0
-2.158 1.165 2.699
3.471 -3.250 1.714
2.306 5.507 -0.533
Te Co Cd
2 1 1
Direct
0.733 0.467 0.319
0.906 0.813 0.920
0.293 0.587 0.623
0.567 0.134 0.638
```

---

The following is a DFT calculation (meta-GGA SCAN) of MnNiAg at its PBEsol-relaxed geometry.

Density of states at the Fermi level (states/eV/cell): 1.49
Symmetry: No. 107
E above lowest polymorph (eV per atom): 0.000
Energy of formation (eV per atom): -0.0462

POSCAR file:
```
MnNiAg
1.0
2.954 0.000 0.000
0.000 2.954 0.000
-1.477 -1.477 4.610
Mn Ni Ag
1 1 1
Direct
0.686 0.686 0.371
0.317 0.317 0.634
0.997 0.997 0.995
```

---

The following is a DFT calculation (meta-GGA SCAN) of TaCu2W at its PBEsol-relaxed geometry.

Density of states at the Fermi level (states/eV/cell): 1.87
Symmetry: No. 25
Energy of formation (eV per atom): 0.2378

POSCAR file:
```
TaCu2W
1.0
2.697 0.000 0.000
0.000 3.766 0.000
0.000 0.000 5.609
Ta Cu W
1 2 1
Direct
0.000 0.000 0.489
0.000 0.000 0.013
0.500 0.500 0.230
0.500 0.500 0.768
```

---

Calculated total moment in order - 0.00, 0.00, 4.42, 0.00 μB per cell